[1]
Density functional theory data (GGA-PBE) for crystalline TlBiTe2 at its relaxed geometry.

Computed properties:
DOS at the Fermi energy (states/eV per cell): 0.1
Formation energy from raw total energies (eV/f.u.): -1.18

Lattice parameters (Å, degrees): 4.506 4.506 8.374 90.00 90.00 120.00
Sites, in units of the cell vectors:
Tl 0.000 0.000 0.000
Bi 0.000 0.000 0.500
Te 0.333 0.667 0.719
Te 0.667 0.333 0.281



[2]
Density functional theory data (GGA-PBE) for crystalline BaFe4Cu at its relaxed geometry.

Computed properties:
DOS at the Fermi energy (states/eV per cell): 6.0
Total DFT energy (no corrections) (eV/atom): -6.056

Lattice parameters (Å, degrees): 5.188 5.188 5.188 60.00 60.00 60.00
Sites, in units of the cell vectors:
Ba 0.000 0.000 0.000
Fe 0.379 0.379 0.379
Fe 0.379 0.379 0.864
Fe 0.379 0.864 0.379
Fe 0.864 0.379 0.379
Cu 0.750 0.750 0.750



[3]
Density functional theory data (GGA-PBE) for crystalline Tm6NiSn3 at its relaxed geometry.

Computed properties:
DOS at the Fermi energy (states/eV per cell): 13.2
Total DFT energy (no corrections) (eV/atom): -4.882

Lattice parameters (Å, degrees): 9.112 9.112 6.633 90.00 90.00 83.30
Sites, in units of the cell vectors:
Tm 0.020 0.980 0.500
Tm 0.120 0.316 0.265
Tm 0.214 0.552 0.622
Tm 0.281 0.719 0.095
Tm 0.316 0.120 0.765
Tm 0.448 0.786 0.622
Tm 0.552 0.214 0.122
Tm 0.684 0.880 0.265
Tm 0.719 0.281 0.595
Tm 0.786 0.448 0.122
Tm 0.880 0.684 0.765
Tm 0.980 0.020 0.000
Ni 0.168 0.832 0.774
Ni 0.832 0.168 0.274
Sn 0.023 0.325 0.779
Sn 0.325 0.023 0.279
Sn 0.492 0.508 0.359
Sn 0.508 0.492 0.859
Sn 0.675 0.977 0.779
Sn 0.977 0.675 0.279



[4]
Density functional theory data (GGA-PBE) for crystalline Pr4Sm3HoS8 at its relaxed geometry.

Computed properties:
DOS at the Fermi energy (states/eV per cell): 8.0
Formation energy from raw total energies (eV/f.u.): -32.22

Lattice parameters (Å, degrees): 8.118 8.118 8.118 59.52 59.52 59.52
Sites, in units of the cell vectors:
Pr 0.000 0.000 0.000
Pr 0.000 0.500 0.500
Pr 0.500 0.000 0.500
Pr 0.500 0.500 0.000
Sm 0.000 0.000 0.500
Sm 0.000 0.500 0.000
Sm 0.500 0.000 0.000
Ho 0.500 0.500 0.500
S 0.247 0.247 0.247
S 0.252 0.742 0.742
S 0.258 0.258 0.748
S 0.258 0.748 0.258
S 0.742 0.252 0.742
S 0.742 0.742 0.252
S 0.748 0.258 0.258
S 0.753 0.753 0.753



[5]
Density functional theory data (GGA-PBE) for crystalline Sc8GaFe2 at its relaxed geometry.

Computed properties:
DOS at the Fermi energy (states/eV per cell): 9.3
Total DFT energy (no corrections) (eV/atom): -6.559

Lattice parameters (Å, degrees): 7.239 7.239 4.866 97.95 97.95 112.27
Sites, in units of the cell vectors:
Sc 0.062 0.331 0.580
Sc 0.244 0.756 0.000
Sc 0.331 0.062 0.580
Sc 0.379 0.379 0.192
Sc 0.621 0.621 0.808
Sc 0.669 0.938 0.420
Sc 0.756 0.244 0.000
Sc 0.938 0.669 0.420
Ga 0.000 0.000 0.000
Fe 0.316 0.684 0.500
Fe 0.684 0.316 0.500



[6]
Density functional theory data (GGA-PBE) for crystalline HoCuIr at its relaxed geometry.

Computed properties:
DOS at the Fermi energy (states/eV per cell): 2.0
Offset from the most stable computed form (eV per atom): 0.2653

Lattice parameters (Å, degrees): 5.158 5.158 5.158 141.31 141.31 55.87
Sites, in units of the cell vectors:
Ho 0.000 0.000 0.000
Cu 0.690 0.690 0.000
Ir 0.323 0.323 0.000



[7]
Density functional theory data (GGA-PBE) for crystalline Ac2AgGePd6 at its relaxed geometry.

Computed properties:
DOS at the Fermi energy (states/eV per cell): 3.6
Total DFT energy (no corrections) (eV/atom): -5.318

Lattice parameters (Å, degrees): 6.652 6.652 8.758 127.94 127.94 49.51
Sites, in units of the cell vectors:
Ac 0.239 0.239 0.209
Ac 0.761 0.761 0.791
Ag 0.500 0.500 0.000
Ge 0.000 0.000 0.500
Pd 0.248 0.741 0.263
Pd 0.249 0.249 0.589
Pd 0.259 0.752 0.737
Pd 0.741 0.248 0.263
Pd 0.751 0.751 0.411
Pd 0.752 0.259 0.737



[8]
Density functional theory data (GGA-PBE) for crystalline NbNiB at its relaxed geometry.

Computed properties:
DOS at the Fermi energy (states/eV per cell): 4.5
Total DFT energy (no corrections) (eV/atom): -7.806

Lattice parameters (Å, degrees): 6.645 6.645 6.645 150.60 150.60 42.07
Sites, in units of the cell vectors:
Nb 0.000 0.000 0.000
Nb 0.750 0.250 0.500
Ni 0.159 0.659 0.500
Ni 0.409 0.409 0.000
B 0.322 0.822 0.500
B 0.572 0.572 0.000



Question: Look up the DOS at the Fermi energy of the second one.
Answer: 6.0 states/eV per cell



Question: Look up the DOS at the Fermi energy of the second one.
Answer: 6.0 states/eV per cell



Question: Which value of DOS at the Fermi energy does entry 8 give?
Answer: 4.5 states/eV per cell